Record 1
The following is a DFT calculation (PBE) of an optimized crystal structure of BaPrZn. Values from VASP.

Space group: No. 107

Quantum ESPRESSO input file:
```
&SYSTEM
  ibrav = 0, nat = 3, ntyp = 3
/
ATOMIC_SPECIES
Ba 137.33 Ba.upf
Zn 65.41 Zn.upf
Pr 140.91 Pr.upf
CELL_PARAMETERS angstrom
3.9332 0.0000 0.0000
0.0000 3.9332 0.0000
-1.9666 -1.9666 6.9120
ATOMIC_POSITIONS crystal
Ba 0.0233 0.0233 0.0466
Zn 0.6861 0.6861 0.3721
Pr 0.2906 0.2906 0.5813
```


Record 2
The following is a DFT calculation (PBE) of an optimized crystal structure of BaPr2Zn. Values from VASP.

Space group: No. 166

Quantum ESPRESSO input file:
```
&SYSTEM
  ibrav = 0, nat = 4, ntyp = 3
/
ATOMIC_SPECIES
Zn 65.41 Zn.upf
Pr 140.91 Pr.upf
Ba 137.33 Ba.upf
CELL_PARAMETERS angstrom
-2.3340 -2.6294 -1.4683
0.9134 -3.6927 0.2174
-6.1209 -2.8929 9.9670
ATOMIC_POSITIONS crystal
Zn 0.5000 0.5000 0.5000
Pr 0.8939 0.8939 0.3183
Pr 0.1061 0.1061 0.6817
Ba 0.0000 0.0000 0.0000
```


Record 3
The following is a DFT calculation (PBE) of an optimized crystal structure of BaPrZn2. Values from VASP.

Space group: No. 166

Quantum ESPRESSO input file:
```
&SYSTEM
  ibrav = 0, nat = 4, ntyp = 3
/
ATOMIC_SPECIES
Ba 137.33 Ba.upf
Pr 140.91 Pr.upf
Zn 65.41 Zn.upf
CELL_PARAMETERS angstrom
4.0771 0.0000 0.0000
2.0385 3.5308 0.0000
2.0385 1.1769 9.1919
ATOMIC_POSITIONS crystal
Ba 0.5000 0.5000 0.5000
Pr 0.0000 0.0000 0.0000
Zn 0.7413 0.7413 0.7760
Zn 0.2587 0.2587 0.2240
```


Across the entries above, magnetization takes the values 0.00 0.00 0.00 μB per formula unit, respectively.
Across the entries above, formation energy takes the values -0.11 0.13 0.02 eV/atom, respectively.